Below is a relaxed Li2CeMoF8 crystal, with properties calculated at the PBE with a Hubbard U level. Values from VASP.

Computed properties:
Space group   No. 2
VASP energy   -69.3 eV for the cell shown

Quantum ESPRESSO input file:
```
&SYSTEM
  ibrav = 0, nat = 12, ntyp = 4
/
ATOMIC_SPECIES
Li 6.94 Li.upf
Ce 140.12 Ce.upf
Mo 95.94 Mo.upf
F 19.00 F.upf
ATOMIC_POSITIONS angstrom
Li -4.645 1.998 5.057
Li -3.147 1.677 0.908
Ce -0.923 0.070 3.527
Mo 0.000 0.000 0.000
F -4.321 0.068 0.814
F -4.163 2.501 -0.712
F -2.367 3.470 1.308
F -3.472 3.607 5.151
F -3.629 1.174 6.677
F -5.425 0.204 4.657
F -5.071 2.547 3.171
F -2.721 1.128 2.794
CELL_PARAMETERS angstrom
-1.380 4.643 -0.158
-4.567 -1.110 -0.930
-1.846 0.140 7.053
```